Computed, not measured: a relaxed structure of Pm4GePI2 at the GGA-PBE level of DFT.

```
Pm4GePI2
1.0
-3.703 -2.030 0.552
2.507 -5.662 -4.002
1.906 -1.385 7.688
I Ge P Pm
2 1 1 4
Cartesian
-0.899 -1.707 4.120
2.206 -3.523 1.843
0.000 0.000 0.000
-0.598 -3.846 -1.725
-0.883 -2.635 0.816
2.177 -4.360 -1.430
2.236 -2.687 5.116
1.593 -6.442 3.422
```

Computed properties:
Its space group is P2/m (10). The value obtained for the formation energy without anion corrections is -1.196 eV/atom.

***

Computed, not measured: a relaxed structure of PmAlCo2 at the GGA-PBE level of DFT.

```
PmAlCo2
1.0
3.306 0.000 0.000
0.000 4.374 0.000
0.000 0.000 4.374
Al Pm Co
1 1 2
Cartesian
1.653 0.000 0.000
1.653 2.187 2.187
0.000 0.000 2.187
0.000 2.187 0.000
```

Computed properties:
Its space group is P4/mmm (123). The calculation puts the energy of formation from the pure elements at -0.0590 eV per atom.

***

| no. | total moment (μB/f.u.) | final energy (eV/atom) |
| --- | --- | --- |
| 1 | 0.00 | -5.213 |
| 2 | 0.00 | -5.735 |